No. 1
# Na5Tl3 (PBE, optimized geometry)
# V = 29.321 Å³/atom
# size of the total moment = 0.00 μB/cell
# formation energy from the elements = -0.793 eV per formula unit
# space group = I-4m2, No. 119
# theoretical density = 5.15 Mg/m³
# DFT total energy = -1.81 eV/atom
data_Na5Tl3
_chemical_formula_sum 'Na5 Tl3'
_symmetry_space_group_name_H-M 'P 1'
_symmetry_Int_Tables_number 1
_cell_length_a 10.643
_cell_length_b 10.643
_cell_length_c 10.643
_cell_angle_alpha 153.81
_cell_angle_beta 153.81
_cell_angle_gamma 37.38
loop_
_symmetry_equiv_pos_as_xyz
'x,y,z'
loop_
_atom_site_label
_atom_site_type_symbol
_atom_site_fract_x
_atom_site_fract_y
_atom_site_fract_z
Na1 Na 0.000 0.000 0.000
Na2 Na 0.249 0.249 0.000
Na3 Na 0.618 0.118 0.500
Na4 Na 0.751 0.751 0.000
Na5 Na 0.882 0.382 0.500
Tl1 Tl 0.123 0.623 0.500
Tl2 Tl 0.377 0.877 0.500
Tl3 Tl 0.500 0.500 0.000

***

No. 2
# NaTm2Tl3 (PBE, optimized geometry)
# V = 27.123 Å³/atom
# size of the total moment = 0.00 μB/cell
# formation energy from the elements = -1.365 eV per formula unit
# space group = P4/mmm, No. 123
# theoretical density = 9.94 Mg/m³
# DFT total energy = -3.12 eV/atom
data_NaTm2Tl3
_chemical_formula_sum 'Na1 Tm2 Tl3'
_symmetry_space_group_name_H-M 'P 1'
_symmetry_Int_Tables_number 1
_cell_length_a 3.762
_cell_length_b 3.762
_cell_length_c 11.496
_cell_angle_alpha 90.00
_cell_angle_beta 90.00
_cell_angle_gamma 90.00
loop_
_symmetry_equiv_pos_as_xyz
'x,y,z'
loop_
_atom_site_label
_atom_site_type_symbol
_atom_site_fract_x
_atom_site_fract_y
_atom_site_fract_z
Na1 Na 0.000 0.000 0.000
Tm1 Tm 0.000 0.000 0.334
Tm2 Tm 0.000 0.000 0.666
Tl1 Tl 0.500 0.500 0.177
Tl2 Tl 0.500 0.500 0.500
Tl3 Tl 0.500 0.500 0.823

***

No. 3
# Na4TmTl15 (PBE, optimized geometry)
# V = 28.525 Å³/atom
# size of the total moment = 0.00 μB/cell
# formation energy from the elements = -1.577 eV per formula unit
# space group = P4/mmm, No. 123
# theoretical density = 9.68 Mg/m³
# DFT total energy = -2.34 eV/atom
data_Na4TmTl15
_chemical_formula_sum 'Na4 Tm1 Tl15'
_symmetry_space_group_name_H-M 'P 1'
_symmetry_Int_Tables_number 1
_cell_length_a 4.802
_cell_length_b 4.802
_cell_length_c 24.744
_cell_angle_alpha 90.00
_cell_angle_beta 90.00
_cell_angle_gamma 90.00
loop_
_symmetry_equiv_pos_as_xyz
'x,y,z'
loop_
_atom_site_label
_atom_site_type_symbol
_atom_site_fract_x
_atom_site_fract_y
_atom_site_fract_z
Na1 Na 0.000 0.000 0.101
Na2 Na 0.000 0.000 0.306
Na3 Na 0.000 0.000 0.694
Na4 Na 0.000 0.000 0.899
Tm1 Tm 0.000 0.000 0.500
Tl1 Tl 0.000 0.500 0.000
Tl2 Tl 0.000 0.500 0.202
Tl3 Tl 0.000 0.500 0.404
Tl4 Tl 0.000 0.500 0.596
Tl5 Tl 0.000 0.500 0.798
Tl6 Tl 0.500 0.000 0.000
Tl7 Tl 0.500 0.000 0.202
Tl8 Tl 0.500 0.000 0.404
Tl9 Tl 0.500 0.000 0.596
Tl10 Tl 0.500 0.000 0.798
Tl11 Tl 0.500 0.500 0.101
Tl12 Tl 0.500 0.500 0.305
Tl13 Tl 0.500 0.500 0.500
Tl14 Tl 0.500 0.500 0.695
Tl15 Tl 0.500 0.500 0.899

***

No. 4
# NaTm4Tl5 (PBE, optimized geometry)
# V = 26.776 Å³/atom
# size of the total moment = 0.00 μB/cell
# formation energy from the elements = -2.557 eV per formula unit
# space group = P4/mmm, No. 123
# theoretical density = 10.67 Mg/m³
# DFT total energy = -3.36 eV/atom
data_NaTm4Tl5
_chemical_formula_sum 'Na1 Tm4 Tl5'
_symmetry_space_group_name_H-M 'P 1'
_symmetry_Int_Tables_number 1
_cell_length_a 3.716
_cell_length_b 3.716
_cell_length_c 19.393
_cell_angle_alpha 90.00
_cell_angle_beta 90.00
_cell_angle_gamma 90.00
loop_
_symmetry_equiv_pos_as_xyz
'x,y,z'
loop_
_atom_site_label
_atom_site_type_symbol
_atom_site_fract_x
_atom_site_fract_y
_atom_site_fract_z
Na1 Na 0.000 0.000 0.000
Tm1 Tm 0.000 0.000 0.200
Tm2 Tm 0.000 0.000 0.400
Tm3 Tm 0.000 0.000 0.600
Tm4 Tm 0.000 0.000 0.800
Tl1 Tl 0.500 0.500 0.106
Tl2 Tl 0.500 0.500 0.302
Tl3 Tl 0.500 0.500 0.500
Tl4 Tl 0.500 0.500 0.698
Tl5 Tl 0.500 0.500 0.894

***

No. 5
# NaTm5Tl3 (PBE, optimized geometry)
# V = 27.099 Å³/atom
# size of the total moment = 0.00 μB/cell
# formation energy from the elements = -1.997 eV per formula unit
# space group = P6_3/mcm, No. 193
# theoretical density = 10.08 Mg/m³
# DFT total energy = -3.64 eV/atom
data_NaTm5Tl3
_chemical_formula_sum 'Na2 Tm10 Tl6'
_symmetry_space_group_name_H-M 'P 1'
_symmetry_Int_Tables_number 1
_cell_length_a 9.225
_cell_length_b 9.225
_cell_length_c 6.618
_cell_angle_alpha 90.00
_cell_angle_beta 90.00
_cell_angle_gamma 120.00
loop_
_symmetry_equiv_pos_as_xyz
'x,y,z'
loop_
_atom_site_label
_atom_site_type_symbol
_atom_site_fract_x
_atom_site_fract_y
_atom_site_fract_z
Na1 Na 0.000 0.000 0.000
Na2 Na 0.000 0.000 0.500
Tm1 Tm 0.000 0.320 0.250
Tm2 Tm 0.000 0.680 0.750
Tm3 Tm 0.320 0.000 0.250
Tm4 Tm 0.320 0.320 0.750
Tm5 Tm 0.333 0.667 0.000
Tm6 Tm 0.333 0.667 0.500
Tm7 Tm 0.667 0.333 0.000
Tm8 Tm 0.667 0.333 0.500
Tm9 Tm 0.680 0.000 0.750
Tm10 Tm 0.680 0.680 0.250
Tl1 Tl 0.000 0.346 0.750
Tl2 Tl 0.000 0.654 0.250
Tl3 Tl 0.346 0.000 0.750
Tl4 Tl 0.346 0.346 0.250
Tl5 Tl 0.654 0.000 0.250
Tl6 Tl 0.654 0.654 0.750

***

No. 6
# NaTm2Tl9 (PBE, optimized geometry)
# V = 27.387 Å³/atom
# size of the total moment = 0.00 μB/cell
# formation energy from the elements = -1.484 eV per formula unit
# space group = P4/mmm, No. 123
# theoretical density = 11.12 Mg/m³
# DFT total energy = -2.75 eV/atom
data_NaTm2Tl9
_chemical_formula_sum 'Na1 Tm2 Tl9'
_symmetry_space_group_name_H-M 'P 1'
_symmetry_Int_Tables_number 1
_cell_length_a 4.784
_cell_length_b 4.784
_cell_length_c 14.359
_cell_angle_alpha 90.00
_cell_angle_beta 90.00
_cell_angle_gamma 90.00
loop_
_symmetry_equiv_pos_as_xyz
'x,y,z'
loop_
_atom_site_label
_atom_site_type_symbol
_atom_site_fract_x
_atom_site_fract_y
_atom_site_fract_z
Na1 Na 0.000 0.000 0.000
Tm1 Tm 0.000 0.000 0.341
Tm2 Tm 0.000 0.000 0.659
Tl1 Tl 0.000 0.500 0.171
Tl2 Tl 0.000 0.500 0.500
Tl3 Tl 0.000 0.500 0.829
Tl4 Tl 0.500 0.000 0.171
Tl5 Tl 0.500 0.000 0.500
Tl6 Tl 0.500 0.000 0.829
Tl7 Tl 0.500 0.500 0.000
Tl8 Tl 0.500 0.500 0.334
Tl9 Tl 0.500 0.500 0.666

***

No. 7
# NaTm2Tl4 (PBE, optimized geometry)
# V = 28.852 Å³/atom
# size of the total moment = 0.00 μB/cell
# formation energy from the elements = -1.173 eV per formula unit
# space group = I4/mmm, No. 139
# theoretical density = 9.69 Mg/m³
# DFT total energy = -2.99 eV/atom
data_NaTm2Tl4
_chemical_formula_sum 'Na1 Tm2 Tl4'
_symmetry_space_group_name_H-M 'P 1'
_symmetry_Int_Tables_number 1
_cell_length_a 6.402
_cell_length_b 6.402
_cell_length_c 6.402
_cell_angle_alpha 109.03
_cell_angle_beta 109.03
_cell_angle_gamma 110.36
loop_
_symmetry_equiv_pos_as_xyz
'x,y,z'
loop_
_atom_site_label
_atom_site_type_symbol
_atom_site_fract_x
_atom_site_fract_y
_atom_site_fract_z
Na1 Na 0.000 0.000 0.000
Tm1 Tm 0.000 0.500 0.500
Tm2 Tm 0.500 0.000 0.500
Tl1 Tl 0.000 0.000 0.500
Tl2 Tl 0.000 0.500 0.000
Tl3 Tl 0.500 0.000 0.000
Tl4 Tl 0.500 0.500 0.500

***

No. 8
# NaTmTl6 (PBE, optimized geometry)
# V = 27.756 Å³/atom
# size of the total moment = 0.00 μB/cell
# formation energy from the elements = -0.762 eV per formula unit
# space group = P4/mmm, No. 123
# theoretical density = 10.61 Mg/m³
# DFT total energy = -2.59 eV/atom
data_NaTmTl6
_chemical_formula_sum 'Na1 Tm1 Tl6'
_symmetry_space_group_name_H-M 'P 1'
_symmetry_Int_Tables_number 1
_cell_length_a 4.800
_cell_length_b 4.800
_cell_length_c 9.638
_cell_angle_alpha 90.00
_cell_angle_beta 90.00
_cell_angle_gamma 90.00
loop_
_symmetry_equiv_pos_as_xyz
'x,y,z'
loop_
_atom_site_label
_atom_site_type_symbol
_atom_site_fract_x
_atom_site_fract_y
_atom_site_fract_z
Na1 Na 0.000 0.000 0.000
Tm1 Tm 0.000 0.000 0.500
Tl1 Tl 0.000 0.500 0.254
Tl2 Tl 0.000 0.500 0.746
Tl3 Tl 0.500 0.000 0.254
Tl4 Tl 0.500 0.000 0.746
Tl5 Tl 0.500 0.500 0.000
Tl6 Tl 0.500 0.500 0.500

***

No. 9
# Na2Tm2Tl3 (PBE, optimized geometry)
# V = 29.325 Å³/atom
# size of the total moment = 0.00 μB/cell
# formation energy from the elements = -1.266 eV per formula unit
# space group = Cmmm, No. 65
# theoretical density = 8.07 Mg/m³
# DFT total energy = -2.85 eV/atom
data_Na2Tm2Tl3
_chemical_formula_sum 'Na2 Tm2 Tl3'
_symmetry_space_group_name_H-M 'P 1'
_symmetry_Int_Tables_number 1
_cell_length_a 14.606
_cell_length_b 14.606
_cell_length_c 3.723
_cell_angle_alpha 90.00
_cell_angle_beta 90.00
_cell_angle_gamma 165.02
loop_
_symmetry_equiv_pos_as_xyz
'x,y,z'
loop_
_atom_site_label
_atom_site_type_symbol
_atom_site_fract_x
_atom_site_fract_y
_atom_site_fract_z
Na1 Na 0.197 0.803 0.000
Na2 Na 0.803 0.197 0.000
Tm1 Tm 0.065 0.935 0.000
Tm2 Tm 0.935 0.065 0.000
Tl1 Tl 0.372 0.628 0.500
Tl2 Tl 0.500 0.500 0.500
Tl3 Tl 0.628 0.372 0.500

***

No. 10
# Na6TmTl12 (PBE, optimized geometry)
# V = 29.949 Å³/atom
# size of the total moment = 0.00 μB/cell
# formation energy from the elements = -0.857 eV per formula unit
# space group = R-3, No. 148
# theoretical density = 8.05 Mg/m³
# DFT total energy = -2.19 eV/atom
data_Na6TmTl12
_chemical_formula_sum 'Na6 Tm1 Tl12'
_symmetry_space_group_name_H-M 'P 1'
_symmetry_Int_Tables_number 1
_cell_length_a 8.316
_cell_length_b 8.316
_cell_length_c 8.316
_cell_angle_alpha 94.70
_cell_angle_beta 94.70
_cell_angle_gamma 94.70
loop_
_symmetry_equiv_pos_as_xyz
'x,y,z'
loop_
_atom_site_label
_atom_site_type_symbol
_atom_site_fract_x
_atom_site_fract_y
_atom_site_fract_z
Na1 Na 0.207 0.769 0.380
Na2 Na 0.231 0.620 0.793
Na3 Na 0.380 0.207 0.769
Na4 Na 0.620 0.793 0.231
Na5 Na 0.769 0.380 0.207
Na6 Na 0.793 0.231 0.620
Tm1 Tm 0.500 0.500 0.500
Tl1 Tl 0.041 0.957 0.711
Tl2 Tl 0.043 0.289 0.959
Tl3 Tl 0.135 0.364 0.460
Tl4 Tl 0.289 0.959 0.043
Tl5 Tl 0.364 0.460 0.135
Tl6 Tl 0.460 0.135 0.364
Tl7 Tl 0.540 0.865 0.636
Tl8 Tl 0.636 0.540 0.865
Tl9 Tl 0.711 0.041 0.957
Tl10 Tl 0.865 0.636 0.540
Tl11 Tl 0.957 0.711 0.041
Tl12 Tl 0.959 0.043 0.289

***

No. 11
# Na4TmTl5 (PBE, optimized geometry)
# V = 28.193 Å³/atom
# size of the total moment = 0.18 μB/cell
# formation energy from the elements = -1.421 eV per formula unit
# space group = P4/mmm, No. 123
# theoretical density = 7.56 Mg/m³
# DFT total energy = -2.30 eV/atom
data_Na4TmTl5
_chemical_formula_sum 'Na4 Tm1 Tl5'
_symmetry_space_group_name_H-M 'P 1'
_symmetry_Int_Tables_number 1
_cell_length_a 3.607
_cell_length_b 3.607
_cell_length_c 21.664
_cell_angle_alpha 90.00
_cell_angle_beta 90.00
_cell_angle_gamma 90.00
loop_
_symmetry_equiv_pos_as_xyz
'x,y,z'
loop_
_atom_site_label
_atom_site_type_symbol
_atom_site_fract_x
_atom_site_fract_y
_atom_site_fract_z
Na1 Na 0.000 0.000 0.104
Na2 Na 0.000 0.000 0.310
Na3 Na 0.000 0.000 0.690
Na4 Na 0.000 0.000 0.896
Tm1 Tm 0.000 0.000 0.500
Tl1 Tl 0.500 0.500 0.000
Tl2 Tl 0.500 0.500 0.208
Tl3 Tl 0.500 0.500 0.408
Tl4 Tl 0.500 0.500 0.592
Tl5 Tl 0.500 0.500 0.792

***

No. 12
# NaYTmTl (PBE, optimized geometry)
# V = 27.441 Å³/atom
# size of the total moment = 0.00 μB/cell
# formation energy from the elements = -0.191 eV per formula unit
# space group = F-43m, No. 216
# theoretical density = 7.34 Mg/m³
# DFT total energy = -3.70 eV/atom
data_NaYTmTl
_chemical_formula_sum 'Na1 Y1 Tm1 Tl1'
_symmetry_space_group_name_H-M 'P 1'
_symmetry_Int_Tables_number 1
_cell_length_a 5.374
_cell_length_b 5.374
_cell_length_c 5.374
_cell_angle_alpha 60.00
_cell_angle_beta 60.00
_cell_angle_gamma 60.00
loop_
_symmetry_equiv_pos_as_xyz
'x,y,z'
loop_
_atom_site_label
_atom_site_type_symbol
_atom_site_fract_x
_atom_site_fract_y
_atom_site_fract_z
Na1 Na 0.000 0.000 0.000
Y1 Y 0.250 0.250 0.250
Tm1 Tm 0.750 0.750 0.750
Tl1 Tl 0.500 0.500 0.500

***

> DFT total energy of number 5 (NaTm5Tl3)?

-3.64 eV/atom